(1)
The following is a DFT calculation (PBE) of a relaxed structure of MoP2AuS.

Calculated values
- Calculated volume: 108.8 Å³/cell
- Total magnetic moment: 2.211 Bohr magnetons per cell
- Offset from the most stable computed form: 0.8476 eV per atom
- Formation energy (no corrections): 1.39 eV/atom

a = 4.722 Å, b = 4.722 Å, c = 4.880 Å
α = 90.00°, β = 90.00°, γ = 90.00°
Last column: magnetic moment on the atom in μB.
Element x y z (fractional)
P1 0.000 0.500 0.000  -0.28
P2 0.500 0.000 0.000  -0.28
Mo1 0.500 0.500 0.500  3.12
Au1 0.000 0.000 0.000  -0.05
S1 0.000 0.000 0.500  -0.21



(2)
The following is a DFT calculation (PBE) of a relaxed structure of MoPAuS2.

Calculated values
- Calculated volume: 110.3 Å³/cell
- Total magnetic moment: 2.318 Bohr magnetons per cell
- Offset from the most stable computed form: 0.8357 eV per atom
- Formation energy (no corrections): 1.28 eV/atom

a = 4.843 Å, b = 4.843 Å, c = 4.704 Å
α = 90.00°, β = 90.00°, γ = 90.00°
Last column: magnetic moment on the atom in μB.
Element x y z (fractional)
P1 0.000 0.000 0.500  -0.41
Mo1 0.500 0.500 0.500  3.27
Au1 0.000 0.000 0.000  -0.04
S1 0.000 0.500 0.000  -0.23
S2 0.500 0.000 0.000  -0.23



(3)
The following is a DFT calculation (PBE) of a relaxed structure of TlMoP2Au.

Calculated values
- Calculated volume: 126.9 Å³/cell
- Total magnetic moment: 3.684 Bohr magnetons per cell
- ΔE_f: 32.4 kcal/mol of atoms

a = 4.852 Å, b = 5.390 Å, c = 4.852 Å
α = 90.00°, β = 90.00°, γ = 90.00°
Last column: magnetic moment on the atom in μB.
Element x y z (fractional)
P1 0.000 0.000 0.500  -0.17
P2 0.500 0.000 0.000  -0.19
Tl1 0.000 0.500 0.000  0.05
Au1 0.000 0.000 0.000  -0.03
Mo1 0.500 0.500 0.500  3.53



(4)
The following is a DFT calculation (PBE) of a relaxed structure of Pa2MoAu.

Calculated values
- Calculated volume: 88.4 Å³/cell
- Total magnetic moment: 0.000 Bohr magnetons per cell
- ΔE_f: 1.0 kcal/mol of atoms
- Offset from the most stable computed form: 0.0965 eV per atom

a = 5.000 Å, b = 5.000 Å, c = 5.000 Å
α = 60.00°, β = 60.00°, γ = 60.00°
Element x y z (fractional)
Mo1 0.000 0.000 0.000
Pa1 0.250 0.250 0.250
Pa2 0.750 0.750 0.750
Au1 0.500 0.500 0.500



(5)
The following is a DFT calculation (PBE) of a relaxed structure of Pa2MoAu.

Calculated values
- Calculated volume: 115.8 Å³/cell
- Total magnetic moment: 0.001 Bohr magnetons per cell
- ΔE_f: 14.6 kcal/mol of atoms
- Offset from the most stable computed form: 0.6849 eV per atom

a = 3.897 Å, b = 3.897 Å, c = 9.089 Å
α = 77.62°, β = 77.62°, γ = 60.00°
Element x y z (fractional)
Mo1 0.500 0.500 0.500
Pa1 0.109 0.109 0.674
Pa2 0.891 0.891 0.326
Au1 0.000 0.000 0.000



(6)
The following is a DFT calculation (PBE) of a relaxed structure of Pa2MoAu.

Calculated values
- Calculated volume: 85.8 Å³/cell
- Total magnetic moment: 0.000 Bohr magnetons per cell
- ΔE_f: 0.9 kcal/mol of atoms
- Offset from the most stable computed form: 0.0943 eV per atom

a = 4.201 Å, b = 4.518 Å, c = 4.518 Å
α = 90.00°, β = 90.00°, γ = 90.00°
Element x y z (fractional)
Mo1 0.500 0.500 0.500
Pa1 0.000 0.000 0.500
Pa2 0.000 0.500 0.000
Au1 0.500 0.000 0.000



(7)
The following is a DFT calculation (PBE) of a relaxed structure of Pa2MoAu.

Calculated values
- Calculated volume: 89.0 Å³/cell
- Total magnetic moment: 0.000 Bohr magnetons per cell
- ΔE_f: -1.2 kcal/mol of atoms
- Offset from the most stable computed form: 0.0000 eV per atom

a = 3.361 Å, b = 3.361 Å, c = 7.880 Å
α = 90.00°, β = 90.00°, γ = 90.00°
Element x y z (fractional)
Mo1 0.500 0.500 0.000
Pa1 0.000 0.000 0.776
Pa2 0.000 0.000 0.224
Au1 0.500 0.500 0.500



(8)
The following is a DFT calculation (PBE) of a relaxed structure of ZrPaMoAu.

Calculated values
- Calculated volume: 83.2 Å³/cell
- Total magnetic moment: 0.001 Bohr magnetons per cell
- ΔE_f: -1.8 kcal/mol of atoms

a = 4.899 Å, b = 4.899 Å, c = 4.899 Å
α = 60.00°, β = 60.00°, γ = 60.00°
Element x y z (fractional)
Mo1 0.500 0.500 0.500
Pa1 0.750 0.750 0.750
Au1 0.000 0.000 0.000
Zr1 0.250 0.250 0.250



(9)
The following is a DFT calculation (PBE) of a relaxed structure of MoPb2Au.

Calculated values
- Calculated volume: 93.2 Å³/cell
- Total magnetic moment: 3.040 Bohr magnetons per cell
- ΔE_f: 16.3 kcal/mol of atoms
- Offset from the most stable computed form: 0.3623 eV per atom

a = 5.090 Å, b = 5.090 Å, c = 5.090 Å
α = 60.00°, β = 60.00°, γ = 60.00°
Last column: magnetic moment on the atom in μB.
Element x y z (fractional)
Pb1 0.250 0.250 0.250  -0.01
Pb2 0.750 0.750 0.750  -0.01
Mo1 0.000 0.000 0.000  2.54
Au1 0.500 0.500 0.500  0.07



(10)
The following is a DFT calculation (PBE) of a relaxed structure of MoPb3Au.

Calculated values
- Calculated volume: 167.4 Å³/cell
- Total magnetic moment: 4.319 Bohr magnetons per cell
- ΔE_f: 25.1 kcal/mol of atoms
- Offset from the most stable computed form: 0.5214 eV per atom

a = 5.511 Å, b = 5.511 Å, c = 5.511 Å
α = 90.00°, β = 90.00°, γ = 90.00°
Last column: magnetic moment on the atom in μB.
Element x y z (fractional)
Pb1 0.000 0.500 0.000  -0.05
Pb2 0.000 0.000 0.500  -0.05
Pb3 0.500 0.000 0.000  0.00
Mo1 0.500 0.500 0.500  3.66
Au1 0.000 0.000 0.000  -0.02



(11)
The following is a DFT calculation (PBE) of a relaxed structure of MoPb2Au.

Calculated values
- Calculated volume: 90.1 Å³/cell
- Total magnetic moment: 0.000 Bohr magnetons per cell
- ΔE_f: 9.0 kcal/mol of atoms
- Offset from the most stable computed form: 0.0453 eV per atom

a = 4.425 Å, b = 3.750 Å, c = 5.746 Å
α = 70.87°, β = 90.00°, γ = 90.00°
Element x y z (fractional)
Au1 0.000 0.700 0.474
Mo1 0.500 0.549 0.777
Pb1 0.000 0.976 0.921
Pb2 0.500 0.274 0.329



(12)
The following is a DFT calculation (PBE) of a relaxed structure of Mo3PbAu.

Calculated values
- Calculated volume: 120.0 Å³/cell
- Total magnetic moment: 3.909 Bohr magnetons per cell
- ΔE_f: 46.8 kcal/mol of atoms
- Offset from the most stable computed form: 0.0000 eV per atom

a = 4.932 Å, b = 4.932 Å, c = 4.932 Å
α = 90.00°, β = 90.00°, γ = 90.00°
Last column: magnetic moment on the atom in μB.
Element x y z (fractional)
Pb1 0.500 0.500 0.500  -0.03
Mo1 0.000 0.500 0.000  1.11
Mo2 0.000 0.000 0.500  1.30
Mo3 0.500 0.000 0.000  1.06
Au1 0.000 0.000 0.000  0.09



(13)
The following is a DFT calculation (PBE) of a relaxed structure of MoPb2Au.

Calculated values
- Calculated volume: 95.4 Å³/cell
- Total magnetic moment: 0.000 Bohr magnetons per cell
- ΔE_f: 10.0 kcal/mol of atoms
- Offset from the most stable computed form: 0.0917 eV per atom

a = 11.113 Å, b = 11.113 Å, c = 11.113 Å
α = 16.40°, β = 16.40°, γ = 16.40°
Element x y z (fractional)
Au1 0.489 0.489 0.489
Mo1 0.759 0.759 0.759
Pb1 0.017 0.017 0.017
Pb2 0.235 0.235 0.235



(14)
The following is a DFT calculation (PBE) of a relaxed structure of MoPb2Au.

Calculated values
- Calculated volume: 197.9 Å³/cell
- Total magnetic moment: 5.959 Bohr magnetons per cell
- ΔE_f: 17.9 kcal/mol of atoms
- Offset from the most stable computed form: 0.4324 eV per atom

a = 7.982 Å, b = 7.982 Å, c = 6.442 Å
α = 51.72°, β = 51.72°, γ = 90.00°
Last column: magnetic moment on the atom in μB.
Element x y z (fractional)
Pb1 0.633 0.125 0.250  0.00
Pb2 0.117 0.625 0.250  -0.01
Pb3 0.375 0.367 0.750  0.00
Pb4 0.875 0.883 0.750  -0.02
Mo1 0.500 0.500 0.000  2.55
Mo2 0.250 0.750 0.500  2.56
Au1 0.000 0.000 0.000  0.05
Au2 0.750 0.250 0.500  0.05



(15)
The following is a DFT calculation (PBE) of a relaxed structure of MoPb2Au.

Calculated values
- Calculated volume: 95.0 Å³/cell
- Total magnetic moment: 0.000 Bohr magnetons per cell
- ΔE_f: 9.6 kcal/mol of atoms
- Offset from the most stable computed form: 0.0719 eV per atom

a = 3.112 Å, b = 3.855 Å, c = 7.920 Å
α = 90.00°, β = 90.00°, γ = 90.00°
Element x y z (fractional)
Au1 0.000 0.000 0.541
Mo1 0.500 0.500 0.708
Pb1 0.000 0.000 0.942
Pb2 0.500 0.500 0.309